[1]
## LaLuMgAg (PBE)

Data for a relaxed structure of LaLuMgAg.

Properties
Symmetry: F-43m (216)

The structure in POSCAR format:
```
LaLuMgAg
1.0
5.3384 0.0000 0.0000
2.6692 4.6232 0.0000
2.6692 1.5411 4.3588
Mg Lu Ag La
1 1 1 1
Direct
0.7500 0.7500 0.7500
0.0000 0.0000 0.0000
0.2500 0.2500 0.2500
0.5000 0.5000 0.5000
```



[2]
## LaNdLuAg (PBE)

Data for a relaxed structure of LaNdLuAg.

Properties
Symmetry: F-43m (216)

The structure in POSCAR format:
```
LaNdLuAg
1.0
-0.3057 1.0279 -5.4006
3.8734 -1.9443 -3.3960
-1.2065 -4.0652 -3.5122
Lu Nd Ag La
1 1 1 1
Direct
0.2500 0.2500 0.2500
0.0000 0.0000 0.0000
0.7500 0.7500 0.7500
0.5000 0.5000 0.5000
```



[3]
## LaLuNiAg (PBE)

Data for a relaxed structure of LaLuNiAg.

Properties
Symmetry: F-43m (216)

The structure in POSCAR format:
```
LaLuNiAg
1.0
5.0645 0.0000 0.0000
2.5322 4.3860 0.0000
2.5322 1.4620 4.1351
Ni Lu Ag La
1 1 1 1
Direct
0.7500 0.7500 0.7500
0.0000 0.0000 0.0000
0.2500 0.2500 0.2500
0.5000 0.5000 0.5000
```



[4]
## LaLuAgOs (PBE)

Data for a relaxed structure of LaLuAgOs.

Properties
Symmetry: F-43m (216)

The structure in POSCAR format:
```
LaLuAgOs
1.0
5.0279 0.0000 0.0000
2.5140 4.3543 0.0000
2.5140 1.4514 4.1053
Lu Os Ag La
1 1 1 1
Direct
0.7500 0.7500 0.7500
0.0000 0.0000 0.0000
0.5000 0.5000 0.5000
0.2500 0.2500 0.2500
```



[5]
## LaLuAgPb (PBE)

Data for a relaxed structure of LaLuAgPb.

Properties
Symmetry: F-43m (216)

The structure in POSCAR format:
```
LaLuAgPb
1.0
-4.9164 -0.4732 2.1446
-0.5795 -1.8524 5.0227
-1.5526 3.3309 3.9356
Pb Lu Ag La
1 1 1 1
Direct
0.7500 0.7500 0.7500
0.0000 0.0000 0.0000
0.2500 0.2500 0.2500
0.5000 0.5000 0.5000
```



[6]
## LaLuAgPd (PBE)

Data for a relaxed structure of LaLuAgPd.

Properties
Symmetry: F-43m (216)

The structure in POSCAR format:
```
LaLuAgPd
1.0
5.1408 0.0000 0.0000
2.5704 4.4520 0.0000
2.5704 1.4840 4.1974
Lu Ag Pd La
1 1 1 1
Direct
0.0000 0.0000 0.0000
0.2500 0.2500 0.2500
0.7500 0.7500 0.7500
0.5000 0.5000 0.5000
```



[7]
## LaPrLuAg (PBE)

Data for a relaxed structure of LaPrLuAg.

Properties
Symmetry: F-43m (216)

The structure in POSCAR format:
```
LaPrLuAg
1.0
5.5186 0.0000 0.0000
2.7593 4.7792 0.0000
2.7593 1.5931 4.5059
Pr Lu Ag La
1 1 1 1
Direct
0.0000 0.0000 0.0000
0.7500 0.7500 0.7500
0.2500 0.2500 0.2500
0.5000 0.5000 0.5000
```



[8]
## LaLuAgPt (PBE)

Data for a relaxed structure of LaLuAgPt.

Properties
Symmetry: F-43m (216)

The structure in POSCAR format:
```
LaLuAgPt
1.0
-1.8155 3.3480 3.4140
1.7773 -0.0198 4.7960
2.9596 3.8329 1.6464
Lu Ag Pt La
1 1 1 1
Direct
0.5000 0.5000 0.5000
0.2500 0.2500 0.2500
0.7500 0.7500 0.7500
0.0000 0.0000 0.0000
```



| no. | final energy (eV/cell) | DFT formation energy (eV per atom) | spin magnetization (μB per formula unit) |
| --- | --- | --- | --- |
| 1 | -14.4 | -0.13 | 0.00 |
| 2 | -16.9 | 0.03 | 0.00 |
| 3 | -19.1 | -0.26 | 0.00 |
| 4 | -24.2 | -0.18 | 0.00 |
| 5 | -17.5 | -0.38 | 0.39 |
| 6 | -19.7 | -0.55 | 0.00 |
| 7 | -16.9 | 0.03 | 0.00 |
| 8 | -21.2 | -0.72 | 0.00 |